(1)
A plane-wave DFT calculation with PBE was carried out for a geometry-optimized SrCuW3 structure. Values from VASP.

Its formation energy is 1.92 eV/atom. As for the space-group type: Pm-3m, No. 221. Its uncorrected energy is -7.01 eV/atom. The calculation puts the size of the total moment at 0.00 μB/cell. The theoretical density comes out at 11.1 g/cm3. The calculation puts the energy above the lowest structure with this stoichiometry at 0.00 eV/f.u.

Cell and atoms, written as Quantum ESPRESSO input:
```
&SYSTEM
  ibrav = 0, nat = 5, ntyp = 3
/
ATOMIC_SPECIES
Sr 87.62 Sr.upf
Cu 63.55 Cu.upf
W 183.84 W.upf
ATOMIC_POSITIONS crystal
Sr 0.0000 0.0000 0.0000
Cu 0.5000 0.5000 0.5000
W 0.0000 0.5000 0.5000
W 0.5000 0.0000 0.5000
W 0.5000 0.5000 0.0000
CELL_PARAMETERS angstrom
4.7215 0.0000 0.0000
0.0000 4.7215 0.0000
0.0000 0.0000 4.7215
```

---

(2)
A plane-wave DFT calculation with PBE was carried out for a geometry-optimized KTaIr2 structure. Values from VASP.

Its formation energy is 0.99 eV/atom. As for the space-group type: I-4m2, No. 119. Its uncorrected energy is -6.68 eV/atom. The calculation puts the size of the total moment at 0.00 μB/cell. The theoretical density comes out at 14.1 g/cm3. The calculation puts the energy above the lowest structure with this stoichiometry at 4.10 eV/f.u.

Cell and atoms, written as Quantum ESPRESSO input:
```
&SYSTEM
  ibrav = 0, nat = 8, ntyp = 3
/
ATOMIC_SPECIES
K 39.10 K.upf
Ta 180.95 Ta.upf
Ir 192.22 Ir.upf
ATOMIC_POSITIONS crystal
K 0.0000 0.0000 0.0000
K 0.5000 0.5000 0.5000
Ta 0.0000 0.5000 0.7500
Ta 0.5000 0.0000 0.2500
Ir 0.0000 0.0000 0.5000
Ir 0.0000 0.5000 0.2500
Ir 0.5000 0.0000 0.7500
Ir 0.5000 0.5000 0.0000
CELL_PARAMETERS angstrom
4.0782 0.0000 0.0000
0.0000 4.0782 0.0000
0.0000 0.0000 8.5784
```

---

(3)
A plane-wave DFT calculation with PBE was carried out for a geometry-optimized Ba2ZnRhC structure. Values from VASP.

Its formation energy is -0.01 eV/atom. As for the space-group type: P4/mmm, No. 123. Its uncorrected energy is -4.34 eV/atom. The calculation puts the size of the total moment at 0.00 μB/cell. The theoretical density comes out at 5.5 g/cm3.

Cell and atoms, written as Quantum ESPRESSO input:
```
&SYSTEM
  ibrav = 0, nat = 5, ntyp = 4
/
ATOMIC_SPECIES
Ba 137.33 Ba.upf
Zn 65.41 Zn.upf
Rh 102.91 Rh.upf
C 12.01 C.upf
ATOMIC_POSITIONS crystal
Ba 0.0000 0.5000 0.0000
Ba 0.5000 0.0000 0.0000
Zn 0.0000 0.0000 0.5000
Rh 0.5000 0.5000 0.5000
C 0.5000 0.5000 0.0000
CELL_PARAMETERS angstrom
5.9023 0.0000 0.0000
0.0000 5.9023 0.0000
0.0000 0.0000 3.9163
```

---

(4)
A plane-wave DFT calculation with PBE was carried out for a geometry-optimized PmSm4Tm7 structure. Values from VASP.

Its formation energy is 0.08 eV/atom. As for the space-group type: P-1, No. 2. Its uncorrected energy is -4.50 eV/atom. The calculation puts the size of the total moment at 0.00 μB/cell. The theoretical density comes out at 8.4 g/cm3. The calculation puts the energy above the lowest structure with this stoichiometry at 0.00 eV/f.u.

Cell and atoms, written as Quantum ESPRESSO input:
```
&SYSTEM
  ibrav = 0, nat = 12, ntyp = 3
/
ATOMIC_SPECIES
Pm 145.00 Pm.upf
Sm 150.36 Sm.upf
Tm 168.93 Tm.upf
ATOMIC_POSITIONS crystal
Pm 0.0000 0.0000 0.0000
Sm 0.1843 0.6056 0.3344
Sm 0.3469 0.2278 0.6831
Sm 0.6531 0.7722 0.3169
Sm 0.8157 0.3944 0.6656
Tm 0.0000 0.5000 0.0000
Tm 0.1771 0.1081 0.3621
Tm 0.3243 0.7325 0.6731
Tm 0.4831 0.2506 0.0224
Tm 0.5169 0.7494 0.9776
Tm 0.6757 0.2675 0.3269
Tm 0.8229 0.8919 0.6379
CELL_PARAMETERS angstrom
6.7895 0.0000 0.0000
1.7009 6.7581 0.0000
1.9236 1.2878 8.3308
```

---

(5)
A plane-wave DFT calculation with PBE was carried out for a geometry-optimized BeTlBr2 structure. Values from VASP.

The formation energy from raw total energies comes out at -16.18 kJ/mol of atoms. As for the space-group type: Cmm2, No. 35. Its uncorrected energy is -2.53 eV/atom. The calculation puts the size of the total moment at 0.00 μB/cell. The theoretical density comes out at 5.3 g/cm3. The calculation puts the energy above the lowest structure with this stoichiometry at 1.22 eV/f.u.

Cell and atoms, written as Quantum ESPRESSO input:
```
&SYSTEM
  ibrav = 0, nat = 8, ntyp = 3
/
ATOMIC_SPECIES
Be 9.01 Be.upf
Tl 204.38 Tl.upf
Br 79.90 Br.upf
ATOMIC_POSITIONS crystal
Be 0.0000 0.0000 0.0000
Be 0.5000 0.5000 0.0000
Tl 0.0000 0.5000 0.7706
Tl 0.5000 0.0000 0.7706
Br 0.0000 0.0000 0.5287
Br 0.0000 0.5000 0.1482
Br 0.5000 0.0000 0.1482
Br 0.5000 0.5000 0.5287
CELL_PARAMETERS angstrom
3.5355 0.0000 0.0000
0.0000 7.1460 0.0000
0.0000 0.0000 9.2063
```

---

(6)
A plane-wave DFT calculation with PBE was carried out for a geometry-optimized Na4U3FeN8 structure. Values from VASP.

The formation energy from raw total energies comes out at -74.10 kJ/mol of atoms. As for the space-group type: R-3m, No. 166. Its uncorrected energy is -7.91 eV/atom. The calculation puts the size of the total moment at 3.94 μB/cell. The theoretical density comes out at 7.1 g/cm3.

Cell and atoms, written as Quantum ESPRESSO input:
```
&SYSTEM
  ibrav = 0, nat = 16, ntyp = 4
/
ATOMIC_SPECIES
Na 22.99 Na.upf
U 238.03 U.upf
Fe 55.84 Fe.upf
N 14.01 N.upf
ATOMIC_POSITIONS crystal
Na 0.0000 0.0000 0.0000
Na 0.0000 0.5000 0.5000
Na 0.5000 0.0000 0.5000
Na 0.5000 0.5000 0.0000
U 0.0000 0.0000 0.5000
U 0.0000 0.5000 0.0000
U 0.5000 0.0000 0.0000
Fe 0.5000 0.5000 0.5000
N 0.2088 0.7370 0.7370
N 0.2293 0.2293 0.2293
N 0.2630 0.2630 0.7912
N 0.2630 0.7912 0.2630
N 0.7370 0.2088 0.7370
N 0.7370 0.7370 0.2088
N 0.7707 0.7707 0.7707
N 0.7912 0.2630 0.2630
CELL_PARAMETERS angstrom
3.4225 1.9760 5.6215
-3.4225 1.9760 5.6215
0.0000 -3.9519 5.6215
```

---

(7)
A plane-wave DFT calculation with PBE was carried out for a geometry-optimized Ac8Te4HRh3 structure. Values from VASP.

As for the space-group type: R-3m, No. 166. Its uncorrected energy is -5.46 eV/atom. The calculation puts the size of the total moment at 0.00 μB/cell. The theoretical density comes out at 8.2 g/cm3.

Cell and atoms, written as Quantum ESPRESSO input:
```
&SYSTEM
  ibrav = 0, nat = 16, ntyp = 4
/
ATOMIC_SPECIES
Ac 227.00 Ac.upf
Te 127.60 Te.upf
H 1.01 H.upf
Rh 102.91 Rh.upf
ATOMIC_POSITIONS crystal
Ac 0.2297 0.7407 0.7407
Ac 0.2367 0.2367 0.2367
Ac 0.2593 0.2593 0.7703
Ac 0.2593 0.7703 0.2593
Ac 0.7407 0.2297 0.7407
Ac 0.7407 0.7407 0.2297
Ac 0.7633 0.7633 0.7633
Ac 0.7703 0.2593 0.2593
Te 0.0000 0.0000 0.0000
Te 0.0000 0.5000 0.5000
Te 0.5000 0.0000 0.5000
Te 0.5000 0.5000 0.0000
H 0.5000 0.5000 0.5000
Rh 0.0000 0.0000 0.5000
Rh 0.0000 0.5000 0.0000
Rh 0.5000 0.0000 0.0000
CELL_PARAMETERS angstrom
4.3871 2.5329 8.0055
-4.3871 2.5329 8.0055
0.0000 -5.0658 8.0055
```

---

(8)
A plane-wave DFT calculation with PBE was carried out for a geometry-optimized ZrTa2V2 structure. Values from VASP.

Its formation energy is 0.26 eV/atom. As for the space-group type: P4/mbm, No. 127. Its uncorrected energy is -9.84 eV/atom. The calculation puts the size of the total moment at 0.11 μB/cell. The theoretical density comes out at 10.3 g/cm3. The calculation puts the energy above the lowest structure with this stoichiometry at 0.00 eV/f.u.

Cell and atoms, written as Quantum ESPRESSO input:
```
&SYSTEM
  ibrav = 0, nat = 10, ntyp = 3
/
ATOMIC_SPECIES
Zr 91.22 Zr.upf
Ta 180.95 Ta.upf
V 50.94 V.upf
ATOMIC_POSITIONS crystal
Zr 0.0000 0.0000 0.0000
Zr 0.5000 0.5000 0.0000
Ta 0.1495 0.3505 0.5000
Ta 0.3505 0.8505 0.5000
Ta 0.6495 0.1495 0.5000
Ta 0.8505 0.6495 0.5000
V 0.1370 0.6370 0.0000
V 0.3630 0.1370 0.0000
V 0.6370 0.8630 0.0000
V 0.8630 0.3630 0.0000
CELL_PARAMETERS angstrom
7.4036 0.0000 0.0000
0.0000 7.4036 0.0000
0.0000 0.0000 3.2576
```